Here is an optimized crystal structure of LiMn5O8 from Alexandria. Energies are from GGA-PBEsol.

Output
SG = P4_332
E = -8.278 eV/atom
Raw formation energy = -23.1 eV/f.u.
Total magnetization = 1.2854 μB/atom
N(E_F) = 5.69 states/eV/f.u.

a = 8.2407 Å, b = 8.2407 Å, c = 8.2407 Å
α = 90.00°, β = 90.00°, γ = 90.00°
Atoms (fractional coordinates):
Li  0.1250  0.1250  0.1250
Li  0.3750  0.8750  0.6250
Li  0.6250  0.3750  0.8750
Li  0.8750  0.6250  0.3750
Mn  0.0057  0.9943  0.4943
Mn  0.1214  0.8714  0.8750
Mn  0.1250  0.6214  0.6286
Mn  0.1286  0.3750  0.3786
Mn  0.2443  0.7557  0.2557
Mn  0.2557  0.2443  0.7557
Mn  0.3714  0.6250  0.8786
Mn  0.3750  0.3786  0.1286
Mn  0.3786  0.1286  0.3750
Mn  0.4943  0.0057  0.9943
Mn  0.5057  0.5057  0.5057
Mn  0.6214  0.6286  0.1250
Mn  0.6250  0.8786  0.3714
Mn  0.6286  0.1250  0.6214
Mn  0.7443  0.7443  0.7443
Mn  0.7557  0.2557  0.2443
Mn  0.8714  0.8750  0.1214
Mn  0.8750  0.1214  0.8714
Mn  0.8786  0.3714  0.6250
Mn  0.9943  0.4943  0.0057
O  0.1014  0.8736  0.1081
O  0.1081  0.1014  0.8736
O  0.1165  0.3835  0.6165
O  0.1236  0.8514  0.6419
O  0.1264  0.6081  0.3986
O  0.1335  0.6335  0.8665
O  0.1419  0.3764  0.1486
O  0.1486  0.1419  0.3764
O  0.3514  0.8581  0.8764
O  0.3581  0.6236  0.6486
O  0.3665  0.3665  0.3665
O  0.3736  0.3919  0.8986
O  0.3764  0.1486  0.1419
O  0.3835  0.6165  0.1165
O  0.3919  0.8986  0.3736
O  0.3986  0.1264  0.6081
O  0.6014  0.6264  0.8919
O  0.6081  0.3986  0.1264
O  0.6165  0.1165  0.3835
O  0.6236  0.6486  0.3581
O  0.6264  0.8919  0.6014
O  0.6335  0.8665  0.1335
O  0.6419  0.1236  0.8514
O  0.6486  0.3581  0.6236
O  0.8514  0.6419  0.1236
O  0.8581  0.8764  0.3514
O  0.8665  0.1335  0.6335
O  0.8736  0.1081  0.1014
O  0.8764  0.3514  0.8581
O  0.8835  0.8835  0.8835
O  0.8919  0.6014  0.6264
O  0.8986  0.3736  0.3919